(1)
DFT (PBE) results for Na2TmS2 after structural relaxation.

Calculated values
As for the space-group type: Ibam, No. 72.

Lattice parameters (Å, degrees): 7.375 7.375 7.375 121.19 88.66 120.36
Atoms (fractional coordinates):
1 Na 0.335 0.901 0.236
2 Na 0.835 0.599 0.434
3 Na 0.165 0.401 0.566
4 Na 0.665 0.099 0.764
5 S 0.920 0.231 0.151
6 S 0.580 0.731 0.311
7 S 0.420 0.269 0.689
8 S 0.080 0.769 0.849
9 Tm 0.250 0.250 0.000
10 Tm 0.750 0.750 0.000

=====

(2)
DFT (PBE) results for LiSiTe2AuS after structural relaxation.

Calculated values
As for the space-group type: Cmcm, No. 63.

Lattice parameters (Å, degrees): 7.376 7.376 10.351 90.00 90.00 150.21
Atoms (fractional coordinates):
1 Au 0.832 0.168 0.250
2 Au 0.168 0.832 0.750
3 Li 0.149 0.851 0.250
4 Li 0.851 0.149 0.750
5 S 0.538 0.462 0.250
6 S 0.462 0.538 0.750
7 Si 0.500 0.500 0.000
8 Si 0.500 0.500 0.500
9 Te 0.864 0.136 0.007
10 Te 0.864 0.136 0.493
11 Te 0.136 0.864 0.507
12 Te 0.136 0.864 0.993

=====

| no. | VASP energy (eV/atom) |
| --- | --- |
| 1 | -4.261 |
| 2 | -3.668 |